Density functional theory data (GGA-PBE) for crystalline RbNa2AsIr at its relaxed geometry.

abc: 5.630 5.630 4.659
angles: 90.00 90.00 90.00
Sites, in units of the cell vectors:
Rb 0.000 0.000 0.000
Na 0.000 0.500 0.500
Na 0.500 0.000 0.500
As 0.500 0.500 0.000
Ir 0.500 0.500 0.500

Results
As for the space group: No. 123. For the total magnetic moment, the calculation gives 0.0 μB per cell. The formation energy is -0.11 eV/atom.